## NbCdTcO6 (PBE)

Data for an optimized crystal structure of NbCdTcO6.

a = 5.2796 Å, b = 5.2796 Å, c = 9.7318 Å
α = 90.00°, β = 90.00°, γ = 120.00°
Closest atoms and distances in Å follow each position.
Fractional positions:
Nb (0.6667, 0.3333, 0.2500)  6 O 2.02
Nb (0.3333, 0.6667, 0.7500)  6 O 2.02
Cd (0.0000, 0.0000, 0.0000)  6 O 2.35
Cd (0.0000, 0.0000, 0.5000)  6 O 2.35
Tc (0.3333, 0.6667, 0.2500)  6 O 1.98
Tc (0.6667, 0.3333, 0.7500)  6 O 1.98
O (0.6329, 0.6381, 0.1391)  1 Tc 1.98, 1 Nb 2.02
O (0.0053, 0.3671, 0.1391)  1 Tc 1.98, 1 Nb 2.02
O (0.3671, 0.0053, 0.6391)  1 Tc 1.98, 1 Nb 2.02
O (0.9947, 0.6329, 0.8609)  1 Tc 1.98, 1 Nb 2.02
O (0.3619, 0.3671, 0.3609)  1 Tc 1.98, 1 Nb 2.02
O (0.0053, 0.6381, 0.3609)  1 Tc 1.98, 1 Nb 2.02
O (0.6381, 0.0053, 0.8609)  1 Tc 1.98, 1 Nb 2.02
O (0.6329, 0.9947, 0.3609)  1 Tc 1.98, 1 Nb 2.02
O (0.9947, 0.3619, 0.6391)  1 Tc 1.98, 1 Nb 2.02
O (0.3619, 0.9947, 0.1391)  1 Tc 1.98, 1 Nb 2.02
O (0.6381, 0.6329, 0.6391)  1 Tc 1.98, 1 Nb 2.02
O (0.3671, 0.3619, 0.8609)  1 Tc 1.98, 1 Nb 2.02

Summary:
D(E_F) (states/eV/atom): 0.530
ΔE_f (raw) (meV per atom): -1696